(1)
# LiNbCoBi

A geometry-optimized LiNbCoBi structure (PBE, OQMD via LeMat-Bulk).

Cell and atoms, written as extended XYZ:
```
4
Lattice="0.0000 3.2325 3.2325 3.2325 0.0000 3.2325 3.2325 3.2325 0.0000" Properties=species:S:1:pos:R:3 pbc="T T T"
Li 0.0000 0.0000 0.0000
Nb 1.6163 1.6163 1.6163
Co 4.8488 4.8488 4.8488
Bi 3.2325 3.2325 3.2325
```

Crystal system: cubic
SG: F-43m, No. 216
Offset from the most stable computed form: 197 meV per atom


(2)
# SmEr2AlC

A geometry-optimized SmEr2AlC structure (PBE, OQMD via LeMat-Bulk).

Cell and atoms, written as extended XYZ:
```
5
Lattice="4.8334 0.0000 0.0000 0.0000 4.8334 0.0000 0.0000 0.0000 5.0044" Properties=species:S:1:pos:R:3 pbc="T T T"
Sm 0.0000 0.0000 0.0000
Er 0.0000 2.4167 2.5022
Er 2.4167 0.0000 2.5022
Al 2.4167 2.4167 0.0000
C 0.0000 0.0000 2.5022
```

Crystal system: tetragonal
SG: P4/mmm, No. 123
Total DFT energy (no corrections): -5.73 eV per atom


(3)
# LaAgAu

A geometry-optimized LaAgAu structure (PBE, OQMD via LeMat-Bulk).

Cell and atoms, written as extended XYZ:
```
6
Lattice="4.8047 0.0000 0.0000 0.0000 3.7011 0.0000 0.0000 0.0000 8.3572" Properties=species:S:1:pos:R:3 pbc="T T T"
La 1.2012 0.0000 1.9321
La 3.6035 0.0000 6.4251
Ag 1.2012 1.8506 4.8330
Ag 3.6035 1.8506 3.5242
Au 1.2012 1.8506 7.6082
Au 3.6035 1.8506 0.7490
```

Crystal system: orthorhombic
SG: Pmma, No. 51
Offset from the most stable computed form: 0 meV per atom
E_form: -13.49 kcal/mol of atoms


(4)
# ZnSnSO

A geometry-optimized ZnSnSO structure (PBE, OQMD via LeMat-Bulk).

Cell and atoms, written as extended XYZ:
```
8
Lattice="1.8971 -6.9510 0.0000 1.8971 6.9510 0.0000 0.0000 0.0000 5.7910" Properties=species:S:1:pos:R:3 pbc="T T T"
Zn 1.8971 6.1481 2.8955
Zn 1.8971 -6.1481 0.0000
Sn 1.8971 2.2605 2.3791
Sn 1.8971 -2.2605 5.2746
S 1.8971 1.9888 5.1245
S 1.8971 -1.9888 2.2290
O 1.8971 5.9587 4.9529
O 1.8971 -5.9587 2.0574
```

Crystal system: orthorhombic
SG: Cmc2_1, No. 36
Offset from the most stable computed form: 44 meV per atom


What is the formula in the fourth record?
ZnSnSO